VASP calculation (PBE) on crystalline Na3MoOs at its relaxed geometry.

Output
total moment = 7.03 μB per cell
E above lowest polymorph = 0.00 kcal/mol of atoms
total DFT energy (no corrections) = -3.081 eV per atom
crystal system = cubic
density of states at the Fermi level = 5.63 states/eV/f.u.
formation energy = 2122.7 meV/atom

Lattice parameters (Å, degrees): 5.4826 5.4826 5.4826 90.00 90.00 90.00
Site moments in Bohr magnetons follow the coordinates.
Positions (direct):
Na  0.0000  0.5000  0.0000  0.01
Na  0.0000  0.0000  0.5000  0.01
Na  0.5000  0.0000  0.0000  0.00
Mo  0.5000  0.5000  0.5000  3.93
Os  0.0000  0.0000  0.0000  1.82

=====

VASP calculation (PBE) on crystalline BAsH3 at its relaxed geometry.

Output
total moment = 0.00 μB per cell
E above lowest polymorph = 19.58 kcal/mol of atoms
total DFT energy (no corrections) = -3.226 eV per atom
crystal system = cubic
density of states at the Fermi level = 1.45 states/eV/f.u.

Lattice parameters (Å, degrees): 3.2554 3.2554 3.2554 90.00 90.00 90.00
Positions (direct):
H  0.0000  0.5000  0.0000
H  0.0000  0.0000  0.5000
H  0.5000  0.0000  0.0000
As  0.5000  0.5000  0.5000
B  0.0000  0.0000  0.0000

=====

VASP calculation (PBE) on crystalline KTl6Bi2 at its relaxed geometry.

Output
total moment = 0.00 μB per cell
total DFT energy (no corrections) = -2.635 eV per atom
crystal system = tetragonal
density of states at the Fermi level = 4.43 states/eV/f.u.
formation energy = -73.5 meV/atom

Lattice parameters (Å, degrees): 5.1954 5.1954 11.7359 90.00 90.00 90.00
Positions (direct):
K  0.0000  0.0000  0.0000
Tl  0.0000  0.5000  0.3004
Tl  0.5000  0.0000  0.3004
Tl  0.0000  0.5000  0.6996
Tl  0.5000  0.0000  0.6996
Tl  0.5000  0.5000  0.5000
Tl  0.0000  0.0000  0.5000
Bi  0.5000  0.5000  0.1323
Bi  0.5000  0.5000  0.8677

=====

VASP calculation (PBE) on crystalline AlTl2Fe at its relaxed geometry.

Output
total moment = 2.64 μB per cell
E above lowest polymorph = 7.32 kcal/mol of atoms
total DFT energy (no corrections) = -3.647 eV per atom
crystal system = monoclinic
density of states at the Fermi level = 2.63 states/eV/f.u.
formation energy = 587.0 meV/atom

Lattice parameters (Å, degrees): 5.0029 3.1248 5.5123 91.09 90.00 90.00
Site moments in Bohr magnetons follow the coordinates.
Positions (direct):
Tl  0.0000  0.9997  0.9938  -0.02
Tl  0.0000  0.5003  0.5062  -0.02
Fe  0.5000  0.7500  0.7500  2.83
Al  0.5000  0.2500  0.2500  -0.01

=====

VASP calculation (PBE) on crystalline In2FePd2 at its relaxed geometry.

Output
total moment = 6.85 μB per cell
E above lowest polymorph = 0.00 kcal/mol of atoms
total DFT energy (no corrections) = -4.976 eV per atom
crystal system = tetragonal
density of states at the Fermi level = 4.25 states/eV/f.u.
formation energy = -110.7 meV/atom

Lattice parameters (Å, degrees): 7.0559 7.0559 3.6662 90.00 90.00 90.00
Site moments in Bohr magnetons follow the coordinates.
Positions (direct):
Fe  0.0000  0.0000  0.0000  3.13
Fe  0.5000  0.5000  0.0000  3.12
Pd  0.3562  0.8562  0.0000  0.09
Pd  0.8562  0.6438  0.0000  0.08
Pd  0.6438  0.1438  0.0000  0.09
Pd  0.1438  0.3562  0.0000  0.08
In  0.1603  0.6603  0.5000  0.01
In  0.6603  0.8397  0.5000  0.01
In  0.8397  0.3397  0.5000  0.01
In  0.3397  0.1603  0.5000  0.01

=====

VASP calculation (PBE) on crystalline PmDy2Ho9 at its relaxed geometry.

Output
total moment = 0.00 μB per cell
E above lowest polymorph = 0.52 kcal/mol of atoms
total DFT energy (no corrections) = -4.552 eV per atom
crystal system = hexagonal
density of states at the Fermi level = 16.94 states/eV/f.u.
formation energy = 44.0 meV/atom

Lattice parameters (Å, degrees): 3.4965 11.1796 11.1796 120.00 90.00 90.00
Positions (direct):
Pm  0.0000  0.0000  0.0000
Dy  0.0000  0.3333  0.6667
Dy  0.0000  0.6667  0.3333
Ho  0.0000  0.0000  0.5000
Ho  0.0000  0.5000  0.5000
Ho  0.0000  0.5000  0.0000
Ho  0.5000  0.3552  0.1776
Ho  0.5000  0.1776  0.8224
Ho  0.5000  0.1776  0.3552
Ho  0.5000  0.8224  0.6448
Ho  0.5000  0.8224  0.1776
Ho  0.5000  0.6448  0.8224

=====

VASP calculation (PBE) on crystalline NbH3Rh at its relaxed geometry.

Output
total moment = 0.11 μB per cell
total DFT energy (no corrections) = -5.188 eV per atom
crystal system = cubic
density of states at the Fermi level = 4.38 states/eV/f.u.

Lattice parameters (Å, degrees): 3.5557 3.5557 3.5557 90.00 90.00 90.00
Site moments in Bohr magnetons follow the coordinates.
Positions (direct):
H  0.0000  0.5000  0.0000  0.00
H  0.0000  0.0000  0.5000  0.00
H  0.5000  0.0000  0.0000  0.00
Nb  0.0000  0.0000  0.0000  0.04
Rh  0.5000  0.5000  0.5000  0.06

=====

VASP calculation (PBE) on crystalline La6PmHo3 at its relaxed geometry.

Output
total moment = 0.00 μB per cell
E above lowest polymorph = 0.00 kcal/mol of atoms
total DFT energy (no corrections) = -4.681 eV per atom
crystal system = orthorhombic
density of states at the Fermi level = 14.66 states/eV/f.u.
formation energy = 123.8 meV/atom

Lattice parameters (Å, degrees): 6.5035 11.2450 11.2450 122.29 90.00 90.00
Positions (direct):
La  0.0501  0.7150  0.6344
La  0.5501  0.6344  0.7150
La  0.3626  0.5093  0.9291
La  0.8626  0.9291  0.5093
La  0.3702  0.9701  0.0299
La  0.6687  0.2875  0.7125
La  0.1687  0.7125  0.2875
La  0.8702  0.0299  0.9701
La  0.3626  0.0709  0.4907
La  0.8626  0.4907  0.0709
La  0.0501  0.3656  0.2850
La  0.5501  0.2850  0.3656
Pm  0.0847  0.1852  0.8148
Pm  0.5847  0.8148  0.1852
Ho  0.4718  0.9478  0.7116
Ho  0.9718  0.7116  0.9478
Ho  0.0926  0.3869  0.6131
Ho  0.5926  0.6131  0.3869
Ho  0.9718  0.0522  0.2884
Ho  0.4718  0.2884  0.0522

=====

VASP calculation (PBE) on crystalline Pm2ZnF at its relaxed geometry.

Output
total moment = 0.00 μB per cell
E above lowest polymorph = 0.00 kcal/mol of atoms
total DFT energy (no corrections) = -4.229 eV per atom
crystal system = tetragonal
density of states at the Fermi level = 3.33 states/eV/f.u.
formation energy (no corrections) = -1.068 eV/atom

Lattice parameters (Å, degrees): 3.3013 3.3013 7.7593 90.00 90.00 90.00
Positions (direct):
Zn  0.5000  0.5000  0.5000
F  0.5000  0.5000  0.0000
Pm  0.0000  0.0000  0.7575
Pm  0.0000  0.0000  0.2425

=====

VASP calculation (PBE) on crystalline Sr2LiZn3Cd4 at its relaxed geometry.

Output
total moment = 0.00 μB per cell
total DFT energy (no corrections) = -1.503 eV per atom
crystal system = tetragonal
density of states at the Fermi level = 5.18 states/eV/f.u.
formation energy = -227.2 meV/atom

Lattice parameters (Å, degrees): 4.4648 4.4648 12.2973 90.00 90.00 90.00
Positions (direct):
Sr  0.5000  0.0000  0.2437
Sr  0.0000  0.5000  0.7563
Li  0.5000  0.5000  0.5000
Zn  0.0000  0.0000  0.5000
Zn  0.5000  0.0000  0.8590
Zn  0.0000  0.5000  0.1410
Cd  0.5000  0.5000  0.0000
Cd  0.0000  0.0000  0.0000
Cd  0.5000  0.0000  0.6357
Cd  0.0000  0.5000  0.3643

=====

VASP calculation (PBE) on crystalline SrLaO2 at its relaxed geometry.

Output
total moment = 0.00 μB per cell
E above lowest polymorph = 1.47 kcal/mol of atoms
total DFT energy (no corrections) = -6.738 eV per atom
crystal system = trigonal
density of states at the Fermi level = 1.62 states/eV/f.u.
formation energy (no corrections) = -2.606 eV/atom

Lattice parameters (Å, degrees): 3.5625 3.5625 6.6760 74.53 74.53 60.00
Positions (direct):
Sr  0.4955  0.4955  0.5135
La  0.6686  0.6686  0.9942
O  0.0832  0.0832  0.7504
O  0.2527  0.2527  0.2419

=====

VASP calculation (PBE) on crystalline RbPmSnS4 at its relaxed geometry.

Output
total moment = 0.00 μB per cell
total DFT energy (no corrections) = -4.958 eV per atom
crystal system = monoclinic
density of states at the Fermi level = 0.00 states/eV/f.u.
formation energy (no corrections) = -1.211 eV/atom

Lattice parameters (Å, degrees): 6.8799 6.9889 9.2580 90.00 107.63 90.00
Positions (direct):
Rb  0.7354  0.7500  0.9403
Rb  0.2646  0.2500  0.0597
Pm  0.7838  0.7500  0.4495
Pm  0.2162  0.2500  0.5505
Sn  0.2397  0.7500  0.3338
Sn  0.7603  0.2500  0.6662
S  0.0059  0.5083  0.7005
S  0.9941  0.0083  0.2995
S  0.9941  0.4917  0.2995
S  0.0059  0.9917  0.7005
S  0.4483  0.7500  0.1713
S  0.5517  0.2500  0.8287
S  0.4654  0.7500  0.5867
S  0.5346  0.2500  0.4133

=====

VASP calculation (PBE) on crystalline LaSm4Er10 at its relaxed geometry.

Output
total moment = 0.00 μB per cell
total DFT energy (no corrections) = -4.163 eV per atom
crystal system = tetragonal
density of states at the Fermi level = 24.48 states/eV/f.u.
formation energy = 465.5 meV/atom

Lattice parameters (Å, degrees): 10.7111 8.7599 8.7599 68.05 52.31 52.31
Positions (direct):
La  0.0000  0.0000  0.0000
Sm  0.5510  0.6633  0.2347
Sm  0.7857  0.7653  0.6633
Sm  0.2143  0.2347  0.3367
Sm  0.4490  0.3367  0.7653
Er  0.2500  0.5000  0.5000
Er  0.7071  0.3396  0.9069
Er  0.9533  0.0931  0.3396
Er  0.3860  0.9069  0.6604
Er  0.9537  0.6604  0.0931
Er  0.2929  0.6604  0.0931
Er  0.7500  0.5000  0.5000
Er  0.0463  0.3396  0.9069
Er  0.6140  0.0931  0.3396
Er  0.0467  0.9069  0.6604

=====

VASP calculation (PBE) on crystalline Te2PdCl at its relaxed geometry.

Output
total moment = 0.00 μB per cell
total DFT energy (no corrections) = -3.529 eV per atom
crystal system = monoclinic
density of states at the Fermi level = 1.89 states/eV/f.u.
formation energy (no corrections) = -0.198 eV/atom

Lattice parameters (Å, degrees): 4.3834 7.4531 7.9545 85.45 74.01 73.27
Positions (direct):
Te  0.1835  0.6171  0.2770
Te  0.5395  0.8829  0.2770
Te  0.8165  0.3829  0.7230
Te  0.4605  0.1171  0.7230
Pd  0.2812  0.2500  0.4375
Pd  0.7188  0.7500  0.5625
Cl  0.8805  0.2500  0.2390
Cl  0.1195  0.7500  0.7610

=====

VASP calculation (PBE) on crystalline PuMg2Cd4 at its relaxed geometry.

Output
total moment = 6.05 μB per cell
total DFT energy (no corrections) = -3.106 eV per atom
crystal system = orthorhombic
density of states at the Fermi level = 10.69 states/eV/f.u.
formation energy = -79.8 meV/atom

Lattice parameters (Å, degrees): 4.8966 3.0718 11.1186 97.94 102.72 90.00
Site moments in Bohr magnetons follow the coordinates.
Positions (direct):
Pu  0.5000  0.0000  0.0000  5.65
Mg  0.7908  0.7908  0.5816  0.00
Mg  0.2092  0.2092  0.4184  0.00
Cd  0.6507  0.6507  0.3013  0.00
Cd  0.3493  0.3493  0.6987  0.00
Cd  0.0760  0.5760  0.1519  0.01
Cd  0.9240  0.4240  0.8481  0.01

=====

VASP calculation (PBE) on crystalline YTh2Te6 at its relaxed geometry.

Output
total moment = 0.00 μB per cell
total DFT energy (no corrections) = -5.486 eV per atom
crystal system = tetragonal
density of states at the Fermi level = 6.18 states/eV/f.u.
formation energy (no corrections) = -1.024 eV/atom

Lattice parameters (Å, degrees): 7.3623 7.3623 13.7196 90.00 90.00 90.00
Positions (direct):
Y  0.0000  0.0000  0.0000
Y  0.5000  0.5000  0.5000
Th  0.0000  0.0000  0.3317
Th  0.5000  0.5000  0.8317
Th  0.5000  0.5000  0.1683
Th  0.0000  0.0000  0.6683
Te  0.2990  0.2990  0.3370
Te  0.7010  0.7010  0.3370
Te  0.2010  0.7990  0.8370
Te  0.7990  0.2010  0.8370
Te  0.2010  0.7990  0.1630
Te  0.7990  0.2010  0.1630
Te  0.2990  0.2990  0.6630
Te  0.7010  0.7010  0.6630
Te  0.2979  0.2979  0.0000
Te  0.7021  0.7021  0.0000
Te  0.2021  0.7979  0.5000
Te  0.7979  0.2021  0.5000

=====

VASP calculation (PBE) on crystalline BaIn3H at its relaxed geometry.

Output
total moment = 0.00 μB per cell
E above lowest polymorph = 0.00 kcal/mol of atoms
total DFT energy (no corrections) = -2.693 eV per atom
crystal system = cubic
density of states at the Fermi level = 5.81 states/eV/f.u.

Lattice parameters (Å, degrees): 5.0695 5.0695 5.0695 90.00 90.00 90.00
Positions (direct):
H  0.0000  0.0000  0.0000
Ba  0.5000  0.5000  0.5000
In  0.0000  0.5000  0.0000
In  0.0000  0.0000  0.5000
In  0.5000  0.0000  0.0000

=====

VASP calculation (PBE) on crystalline KPaAsO6 at its relaxed geometry.

Output
total moment = 0.00 μB per cell
total DFT energy (no corrections) = -7.083 eV per atom
crystal system = orthorhombic
density of states at the Fermi level = 5.64 states/eV/f.u.
formation energy (no corrections) = -2.083 eV/atom

Lattice parameters (Å, degrees): 7.9715 7.1638 7.4948 118.55 122.13 90.00
Positions (direct):
K  0.8215  0.5715  0.6430
K  0.1785  0.4285  0.3570
Pa  0.5000  0.0000  0.5000
Pa  0.0000  0.0000  0.5000
As  0.5000  0.5000  0.0000
As  0.5000  0.0000  0.0000
O  0.4450  0.6950  0.8900
O  0.8284  0.0784  0.6569
O  0.7847  0.0842  0.2424
O  0.4577  0.6581  0.2424
O  0.4577  0.0842  0.2424
O  0.7847  0.6581  0.2424
O  0.5550  0.3050  0.1100
O  0.1716  0.9216  0.3431
O  0.2153  0.9158  0.7576
O  0.5423  0.3419  0.7576
O  0.5423  0.9158  0.7576
O  0.2153  0.3419  0.7576

=====

VASP calculation (PBE) on crystalline LaZr4Mo at its relaxed geometry.

Output
total moment = 0.00 μB per cell
total DFT energy (no corrections) = -7.798 eV per atom
crystal system = cubic
density of states at the Fermi level = 10.63 states/eV/f.u.
formation energy = 527.6 meV/atom

Lattice parameters (Å, degrees): 5.8184 5.8184 5.8184 60.00 60.00 60.00
Positions (direct):
La  0.7500  0.7500  0.7500
Zr  0.8784  0.3739  0.3739
Zr  0.3739  0.3739  0.8784
Zr  0.3739  0.8784  0.3739
Zr  0.3739  0.3739  0.3739
Mo  0.0000  0.0000  0.0000

=====

VASP calculation (PBE) on crystalline Pr2Tm7Th at its relaxed geometry.

Output
total moment = 0.00 μB per cell
total DFT energy (no corrections) = -4.667 eV per atom
crystal system = orthorhombic
density of states at the Fermi level = 16.31 states/eV/f.u.
formation energy = 161.3 meV/atom

Lattice parameters (Å, degrees): 3.4663 14.6713 14.6714 154.38 90.00 90.00
Positions (direct):
Pr  0.5000  0.7064  0.2936
Pr  0.5000  0.2936  0.7064
Tm  0.0000  0.8157  0.1843
Tm  0.0000  0.1843  0.8157
Tm  0.5000  0.1474  0.3417
Tm  0.5000  0.8526  0.6583
Tm  0.5000  0.3417  0.1474
Tm  0.5000  0.6583  0.8526
Tm  0.5000  0.5000  0.5000
Th  0.0000  0.0000  0.0000

=====

VASP calculation (PBE) on crystalline Rb2MnPbCl6 at its relaxed geometry.

Output
total moment = 5.00 μB per cell
total DFT energy (no corrections) = -4.055 eV per atom
crystal system = cubic
density of states at the Fermi level = 0.00 states/eV/f.u.
formation energy (no corrections) = -1.465 eV/atom

Lattice parameters (Å, degrees): 7.6075 7.6075 7.6090 60.01 60.01 90.00
Site moments in Bohr magnetons follow the coordinates.
Positions (direct):
Pb  0.0000  0.0000  0.0000  0.05
Mn  0.5000  0.5000  0.0000  4.39
Rb  0.7500  0.2500  0.5000  0.00
Rb  0.2500  0.7500  0.5000  0.00
Cl  0.2656  0.2656  0.4688  0.03
Cl  0.7344  0.7344  0.5312  0.03
Cl  0.2657  0.2657  0.0000  0.03
Cl  0.7343  0.7343  0.0000  0.03
Cl  0.7343  0.2657  0.0000  0.03
Cl  0.2657  0.7343  0.0000  0.03

=====

VASP calculation (PBE) on crystalline Te2RuPb at its relaxed geometry.

Output
total moment = 0.00 μB per cell
total DFT energy (no corrections) = -4.852 eV per atom
crystal system = trigonal
density of states at the Fermi level = 3.60 states/eV/f.u.
formation energy (no corrections) = -0.035 eV/atom

Lattice parameters (Å, degrees): 9.7891 9.7891 9.7891 22.32 22.32 22.32
Positions (direct):
Pb  0.0000  0.0000  0.0000
Ru  0.5000  0.5000  0.5000
Te  0.8855  0.8855  0.8855
Te  0.1145  0.1145  0.1145